Density functional theory data (PBE) for crystalline Os2RhW at its relaxed geometry.

Summary:
The value obtained for the offset from the most stable computed form is 214 kJ/mol of formula units. The total energy is -163.4 eV for the cell shown. As for the energy of formation: 0.4801 eV per atom. The calculation puts the total moment at 0.000 μB per cell. The density comes out at 18.418 g/cm3.

Cell lengths 6.220, 6.220, 6.220 Å; angles 90.00, 90.00, 90.00 degrees
Space group F-43m (No. 216)
Unique sites:
1 Os 0.000 0.000 0.000 [4 per cell]
2 Os 0.250 0.250 0.250 [4 per cell]
3 Rh 0.250 0.250 0.750 [4 per cell]
4 W 0.000 0.000 0.500 [4 per cell]